No. 1
This record from Alexandria via LeMat-Bulk describes an optimized crystal structure of CdAuS2N. The functional is PBE-GGA.

Cell lengths 5.103, 5.103, 3.779 Å; angles 90.00, 90.00, 90.00 degrees
Sites, in units of the cell vectors:
Cd 0.000 0.000 0.000
Au 0.500 0.500 0.500
S 0.000 0.500 0.500
S 0.500 0.000 0.500
N 0.500 0.500 0.000

Summary:
symmetry = No. 123
calculated density = 6540 kg/m³
energy above the lowest structure with this stoichiometry = 0.000 eV per atom

No. 2
This record from Alexandria via LeMat-Bulk describes an optimized crystal structure of CdAuS2N. The functional is PBE-GGA.

Cell lengths 5.094, 5.094, 4.171 Å; angles 90.00, 90.00, 90.00 degrees
Sites, in units of the cell vectors:
Cd 0.000 0.000 0.000
Au 0.500 0.500 0.500
S 0.000 0.500 0.000
S 0.500 0.000 0.000
N 0.000 0.000 0.500

Summary:
symmetry = No. 123
calculated density = 5947 kg/m³
energy above the lowest structure with this stoichiometry = 0.458 eV per atom

| no. | M_tot (μB/f.u.) |
| --- | --- |
| 1 | 0.00 |
| 2 | 3.17 |